# UTcPbO6 PBE relaxed
data_UTcPbO6
_cell_length_a 5.5091
_cell_length_b 5.5091
_cell_length_c 10.7928
_cell_angle_alpha 90.00
_cell_angle_beta 90.00
_cell_angle_gamma 120.00
_space_group_name_H-M_alt 'P -3 1 c'
_space_group_IT_number 163
_space_group_name_Hall '-P 3 2c'
loop_
_atom_site_label
_atom_site_type_symbol
_atom_site_fract_x
_atom_site_fract_y
_atom_site_fract_z
U1 U 0.3333 0.6667 0.2500
Tc1 Tc 0.3333 0.6667 0.7500
Pb1 Pb 0.0000 0.0000 0.0000
O1 O 0.0100 0.3728 0.6475
# - VASP energy (eV/cell) = -147.81

***

# Tb4Pr2NdDy PBE relaxed
data_Tb4Pr2NdDy
_cell_length_a 5.106
_cell_length_b 5.128
_cell_length_c 10.174
_cell_angle_alpha 90.00
_cell_angle_beta 90.00
_cell_angle_gamma 90.00
_space_group_name_H-M_alt 'P m m m'
_space_group_IT_number 47
_space_group_name_Hall '-P 2 2'
loop_
_atom_site_label
_atom_site_type_symbol
_atom_site_fract_x
_atom_site_fract_y
_atom_site_fract_z
Tb1 Tb 0.000 0.000 0.248
Tb2 Tb 0.500 0.500 0.248
Pr1 Pr 0.000 0.500 0.000
Pr2 Pr 0.500 0.000 0.500
Nd1 Nd 0.000 0.500 0.500
Dy1 Dy 0.500 0.000 0.000
# - DOS(E_F) (states/eV/f.u.) = 10.91
# - energy relative to the elements (eV/atom) = 0.017